Zr2TcSn: relaxed, PBE.

Geometry as CIF:
```
data_Zr2TcSn
_chemical_formula_sum 'Zr2 Tc1 Sn1'
_space_group_name_H-M_alt 'P 1'
_space_group_IT_number 1
_cell_length_a 4.597
_cell_length_b 4.597
_cell_length_c 3.764
_cell_angle_alpha 90.00
_cell_angle_beta 90.00
_cell_angle_gamma 90.00
loop_
_space_group_symop_operation_xyz
'x,y,z'
loop_
_atom_site_label
_atom_site_type_symbol
_atom_site_fract_x
_atom_site_fract_y
_atom_site_fract_z
Zr1 Zr 0.000 0.500 0.000
Zr2 Zr 0.500 0.000 0.000
Tc1 Tc 0.000 0.000 0.500
Sn1 Sn 0.500 0.500 0.500
```

Properties
- DFT total energy (eV per formula unit) = -32.7
- DOS at the Fermi energy (states/eV/atom) = 0.86
- total moment (μB per cell) = 0.0
- space-group type = P4/mmm, No. 123

Zr2TcSn: relaxed, PBE.

Geometry as CIF:
```
data_Zr2TcSn
_chemical_formula_sum 'Zr8 Tc4 Sn4'
_space_group_name_H-M_alt 'P 1'
_space_group_IT_number 1
_cell_length_a 7.772
_cell_length_b 7.772
_cell_length_c 5.751
_cell_angle_alpha 90.00
_cell_angle_beta 90.00
_cell_angle_gamma 90.00
loop_
_space_group_symop_operation_xyz
'x,y,z'
loop_
_atom_site_label
_atom_site_type_symbol
_atom_site_fract_x
_atom_site_fract_y
_atom_site_fract_z
Zr1 Zr 0.202 0.750 0.125
Zr2 Zr 0.250 0.202 0.875
Zr3 Zr 0.250 0.298 0.375
Zr4 Zr 0.298 0.750 0.625
Zr5 Zr 0.702 0.250 0.625
Zr6 Zr 0.750 0.702 0.375
Zr7 Zr 0.750 0.798 0.875
Zr8 Zr 0.798 0.250 0.125
Tc1 Tc 0.000 0.000 0.000
Tc2 Tc 0.000 0.500 0.250
Tc3 Tc 0.500 0.000 0.750
Tc4 Tc 0.500 0.500 0.500
Sn1 Sn 0.000 0.000 0.500
Sn2 Sn 0.000 0.500 0.750
Sn3 Sn 0.500 0.000 0.250
Sn4 Sn 0.500 0.500 0.000
```

Properties
- DFT total energy (eV per formula unit) = -31.1
- DOS at the Fermi energy (states/eV/atom) = 0.87
- total moment (μB per cell) = 0.0
- space-group type = I-42d, No. 122

ZrTc4Sn: relaxed, PBE.

Geometry as CIF:
```
data_ZrTc4Sn
_chemical_formula_sum 'Zr1 Tc4 Sn1'
_space_group_name_H-M_alt 'P 1'
_space_group_IT_number 1
_cell_length_a 5.250
_cell_length_b 5.250
_cell_length_c 5.250
_cell_angle_alpha 60.00
_cell_angle_beta 60.00
_cell_angle_gamma 60.00
loop_
_space_group_symop_operation_xyz
'x,y,z'
loop_
_atom_site_label
_atom_site_type_symbol
_atom_site_fract_x
_atom_site_fract_y
_atom_site_fract_z
Zr1 Zr 0.000 0.000 0.000
Tc1 Tc 0.376 0.376 0.376
Tc2 Tc 0.376 0.376 0.872
Tc3 Tc 0.376 0.872 0.376
Tc4 Tc 0.872 0.376 0.376
Sn1 Sn 0.750 0.750 0.750
```

Properties
- DFT total energy (eV per formula unit) = -54.4
- DOS at the Fermi energy (states/eV/atom) = 0.82
- total moment (μB per cell) = 0.0
- space-group type = F-43m, No. 216

ZrTc2Sn2: relaxed, PBE.

Geometry as CIF:
```
data_ZrTc2Sn2
_chemical_formula_sum 'Zr2 Tc4 Sn4'
_space_group_name_H-M_alt 'P 1'
_space_group_IT_number 1
_cell_length_a 7.547
_cell_length_b 7.547
_cell_length_c 3.329
_cell_angle_alpha 90.00
_cell_angle_beta 90.00
_cell_angle_gamma 90.00
loop_
_space_group_symop_operation_xyz
'x,y,z'
loop_
_atom_site_label
_atom_site_type_symbol
_atom_site_fract_x
_atom_site_fract_y
_atom_site_fract_z
Zr1 Zr 0.000 0.000 0.000
Zr2 Zr 0.500 0.500 0.000
Tc1 Tc 0.135 0.365 0.000
Tc2 Tc 0.365 0.865 0.000
Tc3 Tc 0.635 0.135 0.000
Tc4 Tc 0.865 0.635 0.000
Sn1 Sn 0.161 0.661 0.500
Sn2 Sn 0.339 0.161 0.500
Sn3 Sn 0.661 0.839 0.500
Sn4 Sn 0.839 0.339 0.500
```

Properties
- DFT total energy (eV per formula unit) = -37.3
- DOS at the Fermi energy (states/eV/atom) = 0.80
- total moment (μB per cell) = 0.0
- space-group type = P4/mbm, No. 127

Zr12TcSn6: relaxed, PBE.

Geometry as CIF:
```
data_Zr12TcSn6
_chemical_formula_sum 'Zr12 Tc1 Sn6'
_space_group_name_H-M_alt 'P 1'
_space_group_IT_number 1
_cell_length_a 7.955
_cell_length_b 7.955
_cell_length_c 7.955
_cell_angle_alpha 99.98
_cell_angle_beta 99.98
_cell_angle_gamma 99.98
loop_
_space_group_symop_operation_xyz
'x,y,z'
loop_
_atom_site_label
_atom_site_type_symbol
_atom_site_fract_x
_atom_site_fract_y
_atom_site_fract_z
Zr1 Zr 0.017 0.326 0.063
Zr2 Zr 0.063 0.017 0.326
Zr3 Zr 0.208 0.408 0.526
Zr4 Zr 0.326 0.063 0.017
Zr5 Zr 0.408 0.526 0.208
Zr6 Zr 0.474 0.792 0.592
Zr7 Zr 0.526 0.208 0.408
Zr8 Zr 0.592 0.474 0.792
Zr9 Zr 0.674 0.937 0.983
Zr10 Zr 0.792 0.592 0.474
Zr11 Zr 0.937 0.983 0.674
Zr12 Zr 0.983 0.674 0.937
Tc1 Tc 0.000 0.000 0.000
Sn1 Sn 0.115 0.667 0.328
Sn2 Sn 0.328 0.115 0.667
Sn3 Sn 0.333 0.672 0.885
Sn4 Sn 0.667 0.328 0.115
Sn5 Sn 0.672 0.885 0.333
Sn6 Sn 0.885 0.333 0.672
```

Properties
- DFT total energy (eV per formula unit) = -138.1
- DOS at the Fermi energy (states/eV/atom) = 0.96
- total moment (μB per cell) = 0.0
- space-group type = R-3, No. 148

Zr4TcSn2: relaxed, PBE.

Geometry as CIF:
```
data_Zr4TcSn2
_chemical_formula_sum 'Zr8 Tc2 Sn4'
_space_group_name_H-M_alt 'P 1'
_space_group_IT_number 1
_cell_length_a 4.865
_cell_length_b 4.865
_cell_length_c 15.326
_cell_angle_alpha 90.00
_cell_angle_beta 90.00
_cell_angle_gamma 90.00
loop_
_space_group_symop_operation_xyz
'x,y,z'
loop_
_atom_site_label
_atom_site_type_symbol
_atom_site_fract_x
_atom_site_fract_y
_atom_site_fract_z
Zr1 Zr 0.000 0.000 0.172
Zr2 Zr 0.000 0.000 0.828
Zr3 Zr 0.000 0.500 0.000
Zr4 Zr 0.000 0.500 0.500
Zr5 Zr 0.500 0.000 0.000
Zr6 Zr 0.500 0.000 0.500
Zr7 Zr 0.500 0.500 0.328
Zr8 Zr 0.500 0.500 0.672
Tc1 Tc 0.000 0.000 0.000
Tc2 Tc 0.500 0.500 0.500
Sn1 Sn 0.000 0.000 0.363
Sn2 Sn 0.000 0.000 0.637
Sn3 Sn 0.500 0.500 0.137
Sn4 Sn 0.500 0.500 0.863
```

Properties
- DFT total energy (eV per formula unit) = -51.6
- DOS at the Fermi energy (states/eV/atom) = 1.30
- total moment (μB per cell) = 0.0
- space-group type = I4/mmm, No. 139

| no. | energy of formation (eV/atom) |
| --- | --- |
| 1 | -0.310 |
| 2 | 0.097 |
| 3 | -0.071 |
| 4 | -0.013 |
| 5 | -0.059 |
| 6 | 0.134 |